No. 1
# TbPm5Hg3

TbPm5Hg3 after structural relaxation (PBE, Alexandria).

Computed properties:
raw total energy: -3.543 eV/atom
crystal system: hexagonal
M_tot: 0.0000 μB/atom
DOS(E_F): 0.9515 states/eV/atom

Unit cell a=9.3065 b=9.3065 c=7.0328 alpha=90.00 beta=90.00 gamma=120.00
Space group P6_3/mcm (No. 193)
Asymmetric unit:
Tb1 0.0000 0.0000 0.0000 x2
Pm1 0.0000 0.3352 0.2500 x6
Pm2 0.3333 0.6667 0.0000 x4
Hg1 0.0000 0.3288 0.7500 x6


No. 2
# Tb5Nd4In

Tb5Nd4In after structural relaxation (PBE, Alexandria).

Computed properties:
crystal system: tetragonal
relative energy among the computed polymorphs: 0 meV/atom
M_tot: 0.0000 μB/atom
DOS(E_F): 1.6374 states/eV/atom

Unit cell a=4.1864 b=4.1864 c=18.3206 alpha=90.00 beta=90.00 gamma=90.00
Space group P4/mmm (No. 123)
Asymmetric unit:
Tb1 0.0000 0.0000 0.0000 x1
Tb2 0.0000 0.0000 0.2081 x2
Tb3 0.0000 0.0000 0.4127 x2
Nd1 0.5000 0.5000 0.1024 x2
Nd2 0.5000 0.5000 0.3043 x2
In1 0.5000 0.5000 0.5000 x1


No. 3
# LiAl3In

LiAl3In after structural relaxation (PBE, Alexandria).

Computed properties:
crystal system: cubic
relative energy among the computed polymorphs: 0 meV/atom
M_tot: 0.0000 μB/atom
DOS(E_F): 0.3706 states/eV/atom

Unit cell a=4.6727 b=4.6727 c=4.6727 alpha=90.00 beta=90.00 gamma=90.00
Space group Pm-3m (No. 221)
Asymmetric unit:
Li1 0.0000 0.0000 0.0000 x1
Al1 0.0000 0.0000 0.5000 x3
In1 0.5000 0.5000 0.5000 x1


No. 4
# Pr4TlHg2Pd

Pr4TlHg2Pd after structural relaxation (PBE, Alexandria).

Computed properties:
raw total energy: -3.908 eV/atom
crystal system: trigonal
M_tot: 0.0000 μB/atom
DOS(E_F): 0.9260 states/eV/atom

Unit cell a=5.4326 b=5.4326 c=26.3259 alpha=90.00 beta=90.00 gamma=120.00
Space group R-3m (No. 166, hexagonal axes)
Asymmetric unit:
Pr1 0.0000 0.0000 0.1160 x6
Pr2 0.0000 0.0000 0.3685 x6
Tl1 0.0000 0.0000 0.5000 x3
Hg1 0.0000 0.0000 0.2424 x6
Pd1 0.0000 0.0000 0.0000 x3


No. 5
# Sr3Li4Ag4

Sr3Li4Ag4 after structural relaxation (PBE, Alexandria).

Computed properties:
crystal system: cubic
relative energy among the computed polymorphs: 44 meV/atom
M_tot: 0.0000 μB/atom
DOS(E_F): 0.5617 states/eV/atom

Unit cell a=8.2387 b=8.2387 c=8.2387 alpha=90.00 beta=90.00 gamma=90.00
Space group I-43m (No. 217)
Asymmetric unit:
Sr1 0.0000 0.0000 0.5000 x6
Li1 0.1227 0.1227 0.8773 x8
Ag1 0.1957 0.1957 0.1957 x8


No. 6
# Pm5SmTm12

Pm5SmTm12 after structural relaxation (PBE, Alexandria).

Computed properties:
raw total energy: -4.540 eV/atom
crystal system: monoclinic
M_tot: 0.0000 μB/atom
DOS(E_F): 1.2520 states/eV/atom

Unit cell a=18.3802 b=10.5954 c=6.1299 alpha=90.00 beta=109.24 gamma=90.00
Space group C2/m (No. 12)
Asymmetric unit:
Pm1 0.0000 0.0000 0.0000 x2
Pm2 0.1667 0.0000 0.4999 x4
Pm3 0.1665 0.5000 0.9995 x4
Sm1 0.0000 0.5000 0.5000 x2
Tm1 0.0000 0.1683 0.5000 x4
Tm2 0.0000 0.3321 0.0000 x4
Tm3 0.1667 0.1682 0.9998 x8
Tm4 0.1665 0.3320 0.4996 x8